No. 1
AsPIr GGA-PBE optimized geometry; size of the total moment = 0.00 μB per formula unit; crystal system = cubic; distance to the lowest polymorph of the same formula = 1.22 eV per formula unit; ΔH_f (0 K) = -0.21 eV/atom; energy = -0.240 hartree per atom; N(E_F) = 0.3051 states/eV per atom; SG = No. 216
1.0
5.8799 0.0000 0.0000
0.0000 5.8799 0.0000
0.0000 0.0000 5.8799
As P Ir
4 4 4
Cartesian
0.0000 0.0000 0.0000
0.0000 2.9399 2.9399
2.9399 0.0000 2.9399
2.9399 2.9399 0.0000
0.0000 0.0000 2.9399
0.0000 2.9399 0.0000
2.9399 0.0000 0.0000
2.9399 2.9399 2.9399
1.4700 1.4700 4.4099
1.4700 4.4099 1.4700
4.4099 1.4700 1.4700
4.4099 4.4099 4.4099

---

No. 2
AsPIr2 GGA-PBE optimized geometry; size of the total moment = 0.00 μB per formula unit; crystal system = orthorhombic; distance to the lowest polymorph of the same formula = 2.05 eV per formula unit; ΔH_f (0 K) = 0.24 eV/atom; energy = -0.246 hartree per atom; N(E_F) = 0.7817 states/eV per atom; SG = No. 65
1.0
5.8757 0.0000 0.0000
0.0000 6.7266 0.0000
0.0000 0.0000 2.9811
As P Ir
2 2 4
Cartesian
0.0000 0.0000 0.0000
2.9378 3.3633 0.0000
0.0000 3.3633 0.0000
2.9378 0.0000 0.0000
1.4689 1.6816 1.4906
1.4689 5.0449 1.4906
4.4068 1.6816 1.4906
4.4068 5.0449 1.4906